A relaxed structure of CsK2MoSe4, computed with PBE.

## Properties
- calculated volume (A^3/atom) = 39.988
- formation energy (no corrections) (eV/atom) = -0.83
- space group = I-4 (82)

abc: 7.4674 7.4674 7.4674
angles: 108.03 108.03 112.40
Closest atoms and distances in Å follow each position.
Fractional positions:
Cs 0.0000 0.0000 0.0000  4 Se 3.55
K 0.5000 0.5000 0.0000  4 Se 3.22
K 0.7500 0.2500 0.5000  4 Se 3.42
Mo 0.2500 0.7500 0.5000  4 Se 2.38
Se 0.2587 0.4440 0.5287  1 Mo 2.38
Se 0.2700 0.7413 0.1853  1 Mo 2.38
Se 0.5560 0.0847 0.8147  1 Mo 2.38
Se 0.9153 0.7300 0.4713  1 Mo 2.38